(1)
This record from Alexandria describes an optimized crystal structure of Sr2Li3Pd12Pt. The functional is PBE.

Lattice parameters (Å, degrees): 5.6132 5.6132 36.3544 90.00 90.00 120.00
Closest atoms and distances in Å follow each position.
Space group R-3m (No. 166, hexagonal axes)
One atom of each set of equivalent atoms:
Sr: 0.0000 0.0000 0.1427 (multiplicity 6)  9 Pd 3.08-3.42, 3 Pt 3.36
Li: 0.0000 0.5000 0.0000 (multiplicity 9)  4 Pd 2.44
Pd: 0.0022 0.5011 0.1078 (multiplicity 18)  1 Pt 2.68, 6 Pd 2.70-2.83
Pd: 0.0148 0.5074 0.6174 (multiplicity 18)  2 Li 2.44, 4 Pd 2.68-2.70
Pt: 0.0000 0.0000 0.5000 (multiplicity 3)  6 Pd 2.68

Properties
As for the calculated formation energy: -293 kJ/mol of formula units.

---

(2)
This record from Alexandria describes an optimized crystal structure of LiTbPdPt. The functional is PBE.

Lattice parameters (Å, degrees): 6.6462 6.6462 6.6462 90.00 90.00 90.00
Closest atoms and distances in Å follow each position.
Space group F-43m (No. 216)
One atom of each set of equivalent atoms:
Li: 0.0000 0.0000 0.0000 (multiplicity 4)  4 Pt 2.88, 4 Pd 2.88
Tb: 0.0000 0.0000 0.5000 (multiplicity 4)  4 Pd 2.88, 4 Pt 2.88
Pd: 0.2500 0.2500 0.7500 (multiplicity 4)  4 Tb 2.88, 4 Li 2.88
Pt: 0.2500 0.2500 0.2500 (multiplicity 4)  4 Tb 2.88, 4 Li 2.88

Properties
As for the calculated formation energy: -318 kJ/mol of formula units.

---

(3)
This record from Alexandria describes an optimized crystal structure of LiTePd2Pt. The functional is PBE.

Lattice parameters (Å, degrees): 5.0566 5.0566 5.0401 90.00 90.00 90.00
Closest atoms and distances in Å follow each position.
Space group P4/mmm (No. 123)
One atom of each set of equivalent atoms:
Li: 0.0000 0.0000 0.0000 (multiplicity 1)  8 Pd 3.57, 4 Te 3.58
Te: 0.5000 0.5000 0.0000 (multiplicity 1)  2 Pt 2.52
Pd: 0.0000 0.5000 0.5000 (multiplicity 2)  2 Pt 2.53
Pt: 0.5000 0.5000 0.5000 (multiplicity 1)  2 Te 2.52, 4 Pd 2.53

Properties
For the raw formation energy, the calculation gives 0.377 eV per atom.

---

Calculated size of the total moment in order - 0.00 0.00 0.00 μB/f.u.